! Os2PtI GGA-PBE optimized geometry; values from VASP
! Symmetry: I-42d (122)
! N(E_F) (states/eV per atom): 1.5717
! Offset from the most stable computed form (meV/atom): 277
! Energy (eV per atom): -5.952
! Formation energy (no corrections) (meV/atom): 1560
&SYSTEM
  ibrav = 0, nat = 8, ntyp = 3
/
ATOMIC_SPECIES
I 126.90 I.upf
Os 190.23 Os.upf
Pt 195.08 Pt.upf
ATOMIC_POSITIONS crystal
I 0.5000 0.5000 0.0000
I 0.2500 0.7500 0.5000
Os 0.6446 0.1250 0.2500
Os 0.1054 0.6250 0.2500
Os 0.3750 0.3554 0.7500
Os 0.8750 0.8946 0.7500
Pt 0.0000 0.0000 0.0000
Pt 0.7500 0.2500 0.5000
CELL_PARAMETERS angstrom
5.3410 0.0000 0.0000
0.0000 5.3410 0.0000
2.6705 2.6705 6.6039



! NdBe4Au8 GGA-PBE optimized geometry; values from VASP
! Symmetry: Pm-3m (221)
! N(E_F) (states/eV per atom): 0.4035
! Offset from the most stable computed form (meV/atom): 262
! Energy (eV per atom): -3.527
&SYSTEM
  ibrav = 0, nat = 13, ntyp = 3
/
ATOMIC_SPECIES
Nd 144.24 Nd.upf
Be 9.01 Be.upf
Au 196.97 Au.upf
ATOMIC_POSITIONS crystal
Nd 0.0000 0.0000 0.0000
Be 0.5000 0.5000 0.5000
Be 0.5000 0.5000 0.0000
Be 0.0000 0.5000 0.5000
Be 0.5000 0.0000 0.5000
Au 0.7303 0.2694 0.2694
Au 0.2694 0.2694 0.7303
Au 0.2694 0.7303 0.2694
Au 0.2693 0.2693 0.2693
Au 0.7307 0.7307 0.7307
Au 0.7306 0.7306 0.2697
Au 0.7306 0.2697 0.7306
Au 0.2697 0.7306 0.7306
CELL_PARAMETERS angstrom
-0.6126 5.9885 1.3597
-6.0889 -0.4118 -0.9175
-0.8026 -1.4301 5.9495



! MnV2Ni6 GGA-PBE optimized geometry; values from VASP
! Symmetry: P-62m (189)
! N(E_F) (states/eV per atom): 0.9736
! Offset from the most stable computed form (meV/atom): 0
! Energy (eV per atom): -6.983
&SYSTEM
  ibrav = 0, nat = 9, ntyp = 3
/
ATOMIC_SPECIES
Mn 54.94 Mn.upf
V 50.94 V.upf
Ni 58.69 Ni.upf
ATOMIC_POSITIONS crystal
Mn 0.5000 0.0000 0.0000
V 0.0000 0.6667 0.3333
V 0.0000 0.3333 0.6667
Ni 0.5000 0.3535 0.3535
Ni 0.5000 0.6465 0.0000
Ni 0.5000 0.0000 0.6465
Ni 0.0000 0.6876 0.6876
Ni 0.0000 0.3124 0.0000
Ni 0.0000 0.0000 0.3124
CELL_PARAMETERS angstrom
2.4928 0.0000 0.0000
0.0000 6.1492 -3.1984
0.0000 -0.3049 6.9246



Question: Look up the offset from the most stable computed form of the third one.
Answer: 0 meV/atom



What did the first record say?
! Os2PtI GGA-PBE optimized geometry; values from VASP
! Symmetry: I-42d (122)
! N(E_F) (states/eV per atom): 1.5717
! Offset from the most stable computed form (meV/atom): 277
! Energy (eV per atom): -5.952
! Formation energy (no corrections) (meV/atom): 1560
&SYSTEM
  ibrav = 0, nat = 8, ntyp = 3
/
ATOMIC_SPECIES
I 126.90 I.upf
Os 190.23 Os.upf
Pt 195.08 Pt.upf
ATOMIC_POSITIONS crystal
I 0.5000 0.5000 0.0000
I 0.2500 0.7500 0.5000
Os 0.6446 0.1250 0.2500
Os 0.1054 0.6250 0.2500
Os 0.3750 0.3554 0.7500
Os 0.8750 0.8946 0.7500
Pt 0.0000 0.0000 0.0000
Pt 0.7500 0.2500 0.5000
CELL_PARAMETERS angstrom
5.3410 0.0000 0.0000
0.0000 5.3410 0.0000
2.6705 2.6705 6.6039



Question: Which formula does entry 3 have?
Answer: MnV2Ni6